PBE Tb3Dy2Te6, optimized geometry; energy above the lowest structure with this stoichiometry = 0.000 eV per atom; space group = C2/m, No. 12
1.0
7.2169 0.0000 2.1526
3.6085 6.4873 1.0763
0.3887 0.0000 7.4962
Te Dy Tb
6 2 3
direct
0.9028 0.6767 0.2589
0.5795 0.3233 0.2589
0.4205 0.6767 0.7411
0.2587 0.0000 0.2563
0.0972 0.3233 0.7411
0.7413 0.0000 0.7437
0.1642 0.6716 0.5000
0.8358 0.3284 0.5000
0.3302 0.3396 0.0000
0.6698 0.6604 0.0000
0.0000 0.0000 0.0000

***

PBE Er7Cd2Pb2, optimized geometry; space group = Cmmm, No. 65; calculated formation energy = 0.330 eV per formula unit
1.0
6.5772 -0.0024 -1.1589
0.0038 8.3302 0.0036
-1.5664 -0.0022 6.4922
Er Pb Cd
7 2 2
direct
0.5002 0.7865 0.4998
0.5003 0.7065 0.9998
0.0000 0.0000 0.0000
0.4998 0.2135 0.5002
0.4997 0.2935 0.0002
0.0002 0.7065 0.4997
0.9998 0.2935 0.5003
0.7873 0.5000 0.7873
0.2127 0.5000 0.2127
0.7251 0.0000 0.2749
0.2749 0.0000 0.7251

***

PBE BaLiCo2, optimized geometry; energy above the lowest structure with this stoichiometry = 0.566 eV per atom; space group = Immm, No. 71; calculated formation energy = 3.287 eV per formula unit
1.0
-0.1034 0.1682 -5.4653
1.6033 -4.5565 -2.5645
-3.6115 1.9120 3.6346
Co Li Ba
2 1 1
direct
0.5161 0.5161 0.0000
0.9839 0.9839 0.0000
0.7500 0.2500 0.5000
0.2500 0.7500 0.5000

***

PBE Nd4SiI2Cl, optimized geometry; space group = P2/m, No. 10; calculated total energy = -4.72 eV per atom
1.0
-3.6089 0.0205 -2.3220
-0.5876 -7.0666 0.8508
-3.9576 3.6682 6.1834
I Nd Cl Si
2 4 1 1
direct
0.5000 0.0000 0.5000
0.0000 0.5000 0.5000
0.5000 0.2275 0.1903
0.0000 0.2661 0.8044
0.5000 0.7725 0.8097
0.0000 0.7339 0.1956
0.0000 0.0000 0.0000
0.5000 0.5000 0.0000

***

PBE Sc2Se2I, optimized geometry; energy above the lowest structure with this stoichiometry = 0.000 eV per atom; space group = I4/mmm, No. 139
1.0
-1.6060 2.4155 -2.5698
2.6410 -1.0479 -2.6354
-5.6272 -6.8994 -0.0466
I Sc Se
1 2 2
direct
0.0000 0.0000 0.0000
0.8304 0.8304 0.6607
0.1696 0.1696 0.3393
0.3312 0.3312 0.6625
0.6688 0.6688 0.3375

***

PBE ZrCrSe2, optimized geometry; energy above the lowest structure with this stoichiometry = 0.151 eV per atom; space group = R-3m, No. 166
1.0
-3.1500 0.2052 -1.9951
-1.1902 -2.9677 -1.9291
-4.9537 -2.9761 4.0208
Se Cr Zr
2 1 1
direct
0.9961 0.9961 0.0114
0.5039 0.5039 0.4886
0.2500 0.2500 0.2500
0.7500 0.7500 0.7500

***

PBE Ba2Ga6CuTc, optimized geometry; space group = P-1, No. 2; calculated formation energy = -3.050 eV per formula unit
1.0
-4.5569 3.1693 3.6956
-2.1084 -6.2145 2.7238
-0.1950 -1.3651 6.9167
Ba Ga Tc Cu
2 6 1 1
direct
0.7876 0.2137 0.4267
0.2124 0.7863 0.5733
0.7451 0.6674 0.5071
0.6678 0.7466 0.0783
0.7450 0.2522 0.9224
0.2549 0.3326 0.4929
0.2550 0.7478 0.0776
0.3322 0.2534 0.9217
0.0000 0.0000 0.0000
0.5000 0.5000 0.0000

***

PBE Mg4Si3, optimized geometry; energy above the lowest structure with this stoichiometry = 0.022 eV per atom; space group = P1, No. 1
1.0
6.1095 0.3600 0.5579
-1.0404 6.1828 -0.3274
-2.3273 -3.0278 7.1726
Mg Si
8 6
direct
0.0196 0.4254 0.3083
0.5365 0.7652 0.7355
0.9097 0.2542 0.8721
0.8998 0.9731 0.4204
0.4824 0.5666 0.0317
0.0292 0.7057 0.7599
0.3926 0.9136 0.4423
0.4454 0.1112 0.1454
0.0932 0.7193 0.1178
0.6344 0.5763 0.3911
0.6527 0.3345 0.5625
0.2768 0.3445 0.6161
0.2926 0.1009 0.7858
0.8352 0.9597 0.0612

***

PBE SnSbRu, optimized geometry; energy above the lowest structure with this stoichiometry = 0.014 eV per atom; space group = F-43m, No. 216
1.0
-4.2246 -1.6400 0.0320
-0.8322 -4.1496 -1.6206
-1.1050 -3.3597 2.8336
Sn Ru Sb
1 1 1
direct
0.5000 0.5000 0.5000
0.2500 0.2500 0.2500
0.0000 0.0000 0.0000

***

PBE K2AgPb, optimized geometry; space group = P4mm, No. 99; calculated formation energy = 0.036 eV per formula unit
1.0
3.9827 0.0000 0.0000
0.0000 3.9790 0.0000
0.0000 0.0000 10.1360
Ag Pb K
1 1 2
direct
0.5000 0.5000 0.6788
0.0000 0.0000 0.5749
0.0000 0.0000 0.9285
0.5000 0.5000 0.3179

***

PBE BaBN2, optimized geometry; space group = Pmma, No. 51; calculated total energy = -6.75 eV per atom
1.0
-3.8779 0.1342 -0.6967
-0.3855 -5.2108 1.1421
-1.0953 1.4798 6.3816
N Ba B
4 2 2
direct
0.5000 0.7424 0.5479
0.5000 0.2576 0.4521
0.5000 0.2576 0.0479
0.5000 0.7424 0.9521
0.0000 0.7493 0.2500
0.0000 0.2507 0.7500
0.5000 0.2577 0.2500
0.5000 0.7423 0.7500

***

PBE NdErS3, optimized geometry; energy above the lowest structure with this stoichiometry = 0.000 eV per atom; space group = Pnma, No. 62
1.0
-1.4613 -3.5997 0.8525
4.4235 -0.3974 5.9042
-10.9104 6.4683 8.6095
Nd S Er
4 12 4
direct
0.2500 0.1431 0.2008
0.7500 0.3569 0.7008
0.7500 0.8569 0.7992
0.2500 0.6431 0.2992
0.7500 0.3502 0.2853
0.7500 0.1251 0.0614
0.2500 0.1498 0.7853
0.2500 0.3749 0.5614
0.2500 0.5119 0.1045
0.7500 0.8502 0.2147
0.7500 0.4881 0.8955
0.2500 0.8749 0.9386
0.7500 0.9881 0.6045
0.7500 0.6251 0.4386
0.2500 0.0119 0.3955
0.2500 0.6498 0.7147
0.2500 0.2701 0.9569
0.7500 0.2299 0.4569
0.7500 0.7299 0.0431
0.2500 0.7701 0.5431

***

PBE Nd2GdCl, optimized geometry; space group = R-3m, No. 166; calculated total energy = -7.04 eV per atom
1.0
-0.9513 -1.1835 -3.3643
2.3306 -2.0995 -1.9453
-3.6978 -9.5573 2.3828
Cl Gd Nd
1 1 2
direct
0.0000 0.0000 0.0000
0.5000 0.5000 0.5000
0.7394 0.7394 0.7818
0.2606 0.2606 0.2182

***

PBE Ca5YTl6, optimized geometry; space group = C2/m, No. 12; calculated formation energy = -5.166 eV per formula unit
1.0
-5.1820 1.6635 0.3074
-2.4271 -7.3543 -1.1153
-3.7922 -4.0730 7.6638
Ca Tl Y
5 6 1
direct
0.6660 0.6655 0.6689
0.0000 0.5000 0.0000
0.3340 0.3345 0.3311
0.3288 0.8291 0.3418
0.6712 0.1709 0.6582
0.8352 0.0815 0.3289
0.5000 0.7567 0.0000
0.1649 0.4104 0.6711
0.5000 0.2433 0.0000
0.1648 0.9185 0.6711
0.8351 0.5896 0.3289
0.0000 0.0000 0.0000

***

PBE LaTiAs2Au, optimized geometry; space group = P4/mmm, No. 123; calculated formation energy = 0.648 eV per formula unit
1.0
-0.0143 -4.6880 -2.2434
2.0017 -1.9183 3.9958
-4.7365 -0.9116 1.9351
Ti As La Au
1 2 1 1
direct
0.0000 0.5000 0.0000
0.0000 0.0000 0.5000
0.5000 0.0000 0.0000
0.5000 0.5000 0.5000
0.0000 0.0000 0.0000

***

PBE TaBeSe2, optimized geometry; space group = I-4m2, No. 119; calculated total energy = -5.26 eV per atom
1.0
-0.2058 1.5857 6.0182
3.9874 -0.8631 4.7044
-0.7801 1.8300 -5.9007
Se Ta Be
2 1 1
direct
0.0000 0.0000 0.0000
0.2500 0.7500 0.5000
0.5000 0.5000 0.0000
0.7500 0.2500 0.5000

***

PBE Tb2HoRu2, optimized geometry; energy above the lowest structure with this stoichiometry = 0.000 eV per atom; space group = Cmmm, No. 65; calculated formation energy = -1.588 eV per formula unit
1.0
-0.0967 1.3488 -3.0966
-0.1053 -3.1164 -1.3541
-10.2925 -1.3842 -0.2816
Tb Ru Ho
2 2 1
direct
0.0000 0.8358 0.3285
0.0000 0.1642 0.6715
0.5000 0.5867 0.8265
0.5000 0.4133 0.1735
0.0000 0.0000 0.0000

***

PBE YHfU2N4, optimized geometry; space group = P2/m, No. 10; calculated total energy = -10.55 eV per atom
1.0
3.3521 0.0000 0.0000
0.0000 5.8438 0.1089
0.0000 -2.0335 5.5828
Y U Hf N
1 2 1 4
direct
0.5000 0.5000 0.0000
0.0000 0.5000 0.5000
0.5000 0.0000 0.5000
0.0000 0.0000 0.0000
0.0000 0.7662 0.2464
0.5000 0.2298 0.2356
0.5000 0.7702 0.7644
0.0000 0.2338 0.7536

***

PBE Nd3TlOs, optimized geometry; energy above the lowest structure with this stoichiometry = 0.000 eV per atom; space group = Fmmm, No. 69; calculated formation energy = -1.012 eV per formula unit
1.0
5.9488 0.1179 -1.2341
-2.7120 5.2959 -1.2341
-0.0640 -0.1078 8.9735
Tl Os Nd
2 2 6
direct
0.7123 0.2123 0.5000
0.2877 0.7877 0.5000
0.7500 0.7500 0.0000
0.2500 0.2500 0.0000
0.0804 0.1956 0.2760
0.7007 0.2006 0.9013
0.9196 0.8044 0.7240
0.3045 0.4195 0.7240
0.6955 0.5805 0.2760
0.2993 0.7994 0.0987

***

PBE Cr2W, optimized geometry; energy above the lowest structure with this stoichiometry = 0.000 eV per atom; space group = Fd-3m, No. 227; calculated formation energy = 0.161 eV per formula unit
1.0
4.8144 0.0000 0.0000
2.4072 4.1694 0.0000
2.4072 1.3898 3.9310
Cr W
4 2
direct
0.5000 0.5000 0.0000
0.5000 0.5000 0.5000
0.5000 0.0000 0.5000
0.0000 0.5000 0.5000
0.1250 0.1250 0.1250
0.8750 0.8750 0.8750

***

| no. | calculated density (g/cm³) |
| --- | --- |
| 1 | 7.53 |
| 2 | 8.82 |
| 3 | 5.81 |
| 4 | 6.22 |
| 5 | 4.89 |
| 6 | 6.18 |
| 7 | 6.18 |
| 8 | 2.17 |
| 9 | 8.62 |
| 10 | 4.07 |
| 11 | 4.18 |
| 12 | 6.01 |
| 13 | 6.57 |
| 14 | 7.23 |
| 15 | 6.74 |
| 16 | 8.01 |
| 17 | 9.66 |
| 18 | 12.06 |
| 19 | 9.67 |
| 20 | 12.11 |